Density functional theory data (PBE+U) for an optimized crystal structure of Cs2VP2O8.

a b c (Å): 7.3815 9.6476 13.6925
angles (deg): 90.00 90.00 90.00
Each line ends with the local moment (μB).
Positions (direct):
Cs 0.2500 0.9137 0.4017  0.00
Cs 0.7500 0.0863 0.5983  0.00
Cs 0.7500 0.4137 0.0983  0.00
Cs 0.2500 0.5863 0.9017  0.00
Cs 0.2500 0.1279 0.0884  0.00
Cs 0.7500 0.8721 0.9116  0.00
Cs 0.7500 0.6279 0.4116  0.00
Cs 0.2500 0.3721 0.5884  0.00
V 0.2500 0.4760 0.2863  1.06
V 0.7500 0.5240 0.7137  1.06
V 0.7500 0.9760 0.2137  1.06
V 0.2500 0.0240 0.7863  1.06
P 0.0485 0.7251 0.1604  0.00
P 0.5485 0.2749 0.8396  0.00
P 0.9515 0.2251 0.3396  0.00
P 0.4515 0.7749 0.6604  0.00
P 0.9515 0.2749 0.8396  0.00
P 0.4515 0.7251 0.1604  0.00
P 0.0485 0.7749 0.6604  0.00
P 0.5485 0.2251 0.3396  0.00
O 0.2500 0.5368 0.3983  -0.11
O 0.7500 0.4632 0.6017  -0.11
O 0.7500 0.0368 0.1017  -0.11
O 0.2500 0.9632 0.8983  -0.11
O 0.9341 0.8240 0.2236  0.00
O 0.4341 0.1760 0.7764  0.00
O 0.0659 0.3240 0.2764  0.00
O 0.5659 0.6760 0.7236  0.00
O 0.0659 0.1760 0.7764  0.00
O 0.5659 0.8240 0.2236  0.00
O 0.9341 0.6760 0.7236  0.00
O 0.4341 0.3240 0.2764  0.00
O 0.9923 0.7095 0.0556  0.00
O 0.4923 0.2905 0.9444  0.00
O 0.0077 0.2095 0.4444  0.00
O 0.5077 0.7905 0.5556  0.00
O 0.0077 0.2905 0.9444  0.00
O 0.5077 0.7095 0.0556  0.00
O 0.9923 0.7905 0.5556  0.00
O 0.4923 0.2095 0.4444  0.00
O 0.0634 0.5839 0.2145  0.00
O 0.5634 0.4161 0.7855  0.00
O 0.9366 0.0839 0.2855  0.00
O 0.4366 0.9161 0.7145  0.00
O 0.9366 0.4161 0.7855  0.00
O 0.4366 0.5839 0.2145  0.00
O 0.0634 0.9161 0.7145  0.00
O 0.5634 0.0839 0.2855  0.00
O 0.2500 0.7970 0.1673  0.00
O 0.7500 0.2030 0.8327  0.00
O 0.7500 0.2970 0.3327  0.00
O 0.2500 0.7030 0.6673  0.00

Values from the calculation:
Its energy is -0.25120 hartree per atom. Its space-group type is Pnma (62).